(1)
First-principles (PBE-GGA) data for a relaxed TaPd3Pt crystal, as listed in the Alexandria database.

abc: 9.1739 7.2073 5.5397
angles: 90.00 90.00 90.00
Closest atoms and distances in Å follow each position.
Space group Ima2 (No. 46)
Symmetry-distinct sites (fractional):
Ta (0.2500, 0.0657, 0.0000) (multiplicity 4)  4 Pd 2.54-2.64, 2 Pt 2.59-2.75
Pd (0.0377, 0.2015, 0.7658) (multiplicity 8)  1 Ta 2.54, 1 Pt 2.67, 2 Pd 2.72-2.80
Pd (0.2500, 0.0683, 0.4693) (multiplicity 4)  2 Ta 2.60-2.64, 2 Pt 2.66-2.70, 4 Pd 2.72-2.80
Pt (0.2500, 0.7471, 0.2172) (multiplicity 4)  2 Ta 2.59-2.75, 4 Pd 2.66-2.70, 2 Pt 2.77

Computed properties:
- ΔE to the lowest computed polymorph: 0.4265 eV per atom
- Energy of formation: -0.08 eV/f.u.



(2)
First-principles (PBE-GGA) data for a relaxed CsNdI3 crystal, as listed in the Alexandria database.

abc: 15.3318 15.3318 7.1108
angles: 90.00 90.00 120.00
Closest atoms and distances in Å follow each position.
Space group P6_3cm (No. 185)
Symmetry-distinct sites (fractional):
Cs (0.0000, 0.3408, 0.0000) (multiplicity 6)  9 I 4.03-4.43
Nd (0.0000, 0.0000, 0.3120) (multiplicity 2)  6 I 3.20, 2 Nd 3.56
Nd (0.3333, 0.6667, 0.2281) (multiplicity 4)  6 I 3.21, 2 Nd 3.56
I (0.0000, 0.1734, 0.5623) (multiplicity 6)  2 Nd 3.20
I (0.1594, 0.4921, 0.4779) (multiplicity 12)  2 Nd 3.21

Computed properties:
- ΔE to the lowest computed polymorph: 0.0002 eV per atom



(3)
First-principles (PBE-GGA) data for a relaxed Tc2OsW crystal, as listed in the Alexandria database.

abc: 9.1751 2.7739 4.7836
angles: 90.00 100.02 90.00
Closest atoms and distances in Å follow each position.
Space group C2/m (No. 12)
Symmetry-distinct sites (fractional):
Tc (0.2437, 0.0000, 0.2364) (multiplicity 4)  6 Tc 2.67-2.86, 3 Os 2.71-2.78, 3 W 2.75-2.83
Os (0.0000, 0.5000, 0.0000) (multiplicity 2)  6 Tc 2.71-2.78, 4 W 2.76, 2 Os 2.77
W (0.0000, 0.0000, 0.5000) (multiplicity 2)  6 Tc 2.75-2.83, 4 Os 2.76, 2 W 2.77

Computed properties:
- ΔE to the lowest computed polymorph: 0.0155 eV per atom
- Energy of formation: 0.30 eV/f.u.



(4)
First-principles (PBE-GGA) data for a relaxed Tm2AlAg3 crystal, as listed in the Alexandria database.

abc: 6.6932 9.3548 16.3133
angles: 90.00 90.00 90.00
Closest atoms and distances in Å follow each position.
Space group Fmmm (No. 69)
Symmetry-distinct sites (fractional):
Tm (0.2467, 0.0000, 0.0000) (multiplicity 8)  10 Ag 3.15-3.24, 2 Al 3.21, 2 Tm 3.30-3.39
Tm (0.2500, 0.2500, 0.2500) (multiplicity 8)  8 Ag 3.15-3.17, 4 Al 3.18, 2 Tm 3.35
Al (0.0000, 0.0000, 0.3329) (multiplicity 8)  3 Ag 2.63-2.64
Ag (0.0000, 0.0000, 0.1710) (multiplicity 8)  1 Al 2.64, 2 Ag 2.79
Ag (0.0000, 0.2419, 0.4147) (multiplicity 16)  1 Al 2.63, 2 Ag 2.78-2.79

Computed properties:
- Energy of formation: -1.84 eV/f.u.



Record order is preserved below.
E_tot: -6.71; -3.45; -11.15; -3.85 eV/atom
Record order is preserved below.
Volume: 366; 1448; 120; 1021 Å³ per cell